First-principles (PBEsol) data for a geometry-optimized ZrRh2Br structure, as listed in Alexandria.

Properties
V, Å³/atom: 16.92
Theoretical density, g/cm3: 9.250
Raw formation energy, eV/f.u.: -0.90
N(E_F), states/eV/cell: 1.937
Total magnetization, μB/atom: 0.000
Raw total energy, eV/atom: -7.034

Cell and atoms, written as POSCAR:
```
ZrRh2Br
1.0
4.5147 -1.6342 0.0000
4.5147 1.6342 0.0000
-0.8317 0.0000 4.5859
Zr Rh Br
1 2 1
Direct
0.0000 0.0000 0.0000
0.2696 0.2696 0.7748
0.7304 0.7304 0.2252
0.5000 0.5000 0.5000
```

***

First-principles (PBEsol) data for a geometry-optimized ZrRh2Br structure, as listed in Alexandria.

Properties
V, Å³/atom: 17.28
Theoretical density, g/cm3: 9.057
Raw formation energy, eV/f.u.: -1.18
N(E_F), states/eV/cell: 5.149
Total magnetization, μB/atom: 0.000
Raw total energy, eV/atom: -7.104

Cell and atoms, written as POSCAR:
```
ZrRh2Br
1.0
3.3216 0.0000 0.0000
0.0000 3.3216 0.0000
0.0000 0.0000 6.2636
Zr Rh Br
1 2 1
Direct
0.0000 0.0000 0.0000
0.5000 0.5000 0.2225
0.5000 0.5000 0.7775
0.0000 0.0000 0.5000
```

***

First-principles (PBEsol) data for a geometry-optimized ZrRh2Br structure, as listed in Alexandria.

Properties
V, Å³/atom: 18.03
Theoretical density, g/cm3: 8.681
Raw formation energy, eV/f.u.: -0.31
N(E_F), states/eV/cell: 4.268
Total magnetization, μB/atom: 0.000
Raw total energy, eV/atom: -6.886

Cell and atoms, written as POSCAR:
```
ZrRh2Br
1.0
1.6204 0.9355 7.9276
-1.6204 0.9355 7.9276
0.0000 -1.8710 7.9276
Zr Rh Br
1 2 1
Direct
0.0000 0.0000 0.0000
0.2554 0.2554 0.2554
0.7446 0.7446 0.7446
0.5000 0.5000 0.5000
```

***

First-principles (PBEsol) data for a geometry-optimized ZrRhBr structure, as listed in Alexandria.

Properties
V, Å³/atom: 17.46
Theoretical density, g/cm3: 8.685
Raw formation energy, eV/f.u.: -0.86
N(E_F), states/eV/cell: 2.281
Total magnetization, μB/atom: 0.000
Raw total energy, eV/atom: -6.654

Cell and atoms, written as POSCAR:
```
ZrRhBr
1.0
4.4190 0.0000 0.0000
-2.2095 3.8269 0.0000
0.0000 0.0000 3.0982
Zr Rh Br
1 1 1
Direct
0.0000 0.0000 0.0000
0.6667 0.3333 0.5000
0.3333 0.6667 0.5000
```

***

First-principles (PBEsol) data for a geometry-optimized ZrRh2Br structure, as listed in Alexandria.

Properties
V, Å³/atom: 16.40
Theoretical density, g/cm3: 9.540
Raw formation energy, eV/f.u.: -0.20
N(E_F), states/eV/cell: 3.661
Total magnetization, μB/atom: 0.000
Raw total energy, eV/atom: -6.858

Cell and atoms, written as POSCAR:
```
ZrRh2Br
1.0
-1.9461 1.9461 4.3313
1.9461 -1.9461 4.3313
1.9461 1.9461 -4.3313
Zr Rh Br
1 2 1
Direct
0.0000 0.0000 0.0000
0.2500 0.7500 0.5000
0.5000 0.5000 0.0000
0.7500 0.2500 0.5000
```

***

First-principles (PBEsol) data for a geometry-optimized RuBr structure, as listed in Alexandria.

Properties
V, Å³/atom: 16.43
Theoretical density, g/cm3: 9.147
Raw formation energy, eV/f.u.: 2.31
N(E_F), states/eV/cell: 5.793
Total magnetization, μB/atom: 0.000
Raw total energy, eV/atom: -4.868

Cell and atoms, written as POSCAR:
```
RuBr
1.0
-1.8409 1.8409 4.8470
1.8409 -1.8409 4.8470
1.8409 1.8409 -4.8470
Ru Br
2 2
Direct
0.3750 0.6250 0.7500
0.6250 0.3750 0.2500
0.1250 0.8750 0.2500
0.8750 0.1250 0.7500
```

***

First-principles (PBEsol) data for a geometry-optimized RuBr3 structure, as listed in Alexandria.

Properties
V, Å³/atom: 22.09
Theoretical density, g/cm3: 6.404
Raw formation energy, eV/f.u.: 1.74
N(E_F), states/eV/cell: 4.536
Total magnetization, μB/atom: 0.081
Raw total energy, eV/atom: -3.511

Cell and atoms, written as POSCAR:
```
RuBr3
1.0
3.1173 0.0000 0.0000
0.0000 3.1173 0.0000
0.0000 0.0000 9.0938
Ru Br
1 3
Direct
0.0000 0.0000 0.0000
0.0000 0.0000 0.5000
0.5000 0.5000 0.1683
0.5000 0.5000 0.8317
```

***

First-principles (PBEsol) data for a geometry-optimized RuBr structure, as listed in Alexandria.

Properties
V, Å³/atom: 19.76
Theoretical density, g/cm3: 7.604
Raw formation energy, eV/f.u.: 1.54
N(E_F), states/eV/cell: 4.970
Total magnetization, μB/atom: 0.000
Raw total energy, eV/atom: -5.251

Cell and atoms, written as POSCAR:
```
RuBr
1.0
-1.4927 1.8976 6.9761
1.4927 -1.8976 6.9761
1.4927 1.8976 -6.9761
Ru Br
2 2
Direct
0.4261 0.1761 0.2500
0.5739 0.8239 0.7500
0.1366 0.3866 0.7500
0.8634 0.6134 0.2500
```

***

First-principles (PBEsol) data for a geometry-optimized RuBr structure, as listed in Alexandria.

Properties
V, Å³/atom: 18.19
Theoretical density, g/cm3: 8.262
Raw formation energy, eV/f.u.: 0.94
N(E_F), states/eV/cell: 4.084
Total magnetization, μB/atom: 0.000
Raw total energy, eV/atom: -5.551

Cell and atoms, written as POSCAR:
```
RuBr
1.0
1.4968 0.8642 9.3734
-1.4968 0.8642 9.3734
0.0000 -1.7284 9.3734
Ru Br
2 2
Direct
0.1321 0.1321 0.1321
0.8679 0.8679 0.8679
0.3945 0.3945 0.3945
0.6055 0.6055 0.6055
```

***

First-principles (PBEsol) data for a geometry-optimized Ru3Br structure, as listed in Alexandria.

Properties
V, Å³/atom: 14.47
Theoretical density, g/cm3: 10.988
Raw formation energy, eV/f.u.: 3.81
N(E_F), states/eV/cell: 6.183
Total magnetization, μB/atom: 0.039
Raw total energy, eV/atom: -7.145

Cell and atoms, written as POSCAR:
```
Ru3Br
1.0
4.5348 0.0000 0.0000
0.0000 4.5348 0.0000
0.0000 0.0000 2.8153
Ru Br
3 1
Direct
0.0000 0.0000 0.0000
0.0000 0.5000 0.5000
0.5000 0.0000 0.5000
0.5000 0.5000 0.0000
```

***

First-principles (PBEsol) data for a geometry-optimized RuBr structure, as listed in Alexandria.

Properties
V, Å³/atom: 20.74
Theoretical density, g/cm3: 7.245
Raw formation energy, eV/f.u.: 1.25
N(E_F), states/eV/cell: 4.553
Total magnetization, μB/atom: 0.004
Raw total energy, eV/atom: -5.397

Cell and atoms, written as POSCAR:
```
RuBr
1.0
3.3976 0.0000 0.0000
0.0000 3.0393 0.0000
0.0000 0.0000 8.0340
Ru Br
2 2
Direct
0.2500 0.0000 0.0966
0.7500 0.0000 0.9034
0.2500 0.5000 0.7087
0.7500 0.5000 0.2913
```

***

First-principles (PBEsol) data for a geometry-optimized Ru3Br structure, as listed in Alexandria.

Properties
V, Å³/atom: 14.73
Theoretical density, g/cm3: 10.796
Raw formation energy, eV/f.u.: 2.99
N(E_F), states/eV/cell: 3.585
Total magnetization, μB/atom: 0.000
Raw total energy, eV/atom: -7.349

Cell and atoms, written as POSCAR:
```
Ru3Br
1.0
4.7643 -1.4186 0.0000
4.7643 1.4186 0.0000
-0.1803 0.0000 4.3596
Ru Br
3 1
Direct
0.0000 0.0000 0.0000
0.2779 0.2779 0.7705
0.7221 0.7221 0.2295
0.5000 0.5000 0.5000
```

***

First-principles (PBEsol) data for a geometry-optimized Ru2Br structure, as listed in Alexandria.

Properties
V, Å³/atom: 17.04
Theoretical density, g/cm3: 9.164
Raw formation energy, eV/f.u.: 3.20
N(E_F), states/eV/cell: 9.415
Total magnetization, μB/atom: 0.002
Raw total energy, eV/atom: -6.337

Cell and atoms, written as POSCAR:
```
Ru2Br
1.0
-2.4706 2.4706 4.1863
2.4706 -2.4706 4.1863
2.4706 2.4706 -4.1863
Ru Br
4 2
Direct
0.1768 0.6768 0.8536
0.3232 0.1768 0.5000
0.6768 0.8232 0.5000
0.8232 0.3232 0.1464
0.2500 0.2500 0.0000
0.7500 0.7500 0.0000
```

***

First-principles (PBEsol) data for a geometry-optimized Ru2Br structure, as listed in Alexandria.

Properties
V, Å³/atom: 16.41
Theoretical density, g/cm3: 9.515
Raw formation energy, eV/f.u.: 1.70
N(E_F), states/eV/cell: 2.758
Total magnetization, μB/atom: 0.000
Raw total energy, eV/atom: -6.840

Cell and atoms, written as POSCAR:
```
Ru2Br
1.0
-1.4460 1.4528 5.8576
1.4460 -1.4528 5.8576
1.4460 1.4528 -5.8576
Ru Br
2 1
Direct
0.1860 0.1860 0.0000
0.8140 0.8140 0.0000
0.0000 0.5000 0.5000
```

***

First-principles (PBEsol) data for a geometry-optimized RuBr3 structure, as listed in Alexandria.

Properties
V, Å³/atom: 26.36
Theoretical density, g/cm3: 5.367
Raw formation energy, eV/f.u.: -1.14
N(E_F), states/eV/cell: 7.678
Total magnetization, μB/atom: 0.000
Raw total energy, eV/atom: -4.231

Cell and atoms, written as POSCAR:
```
RuBr3
1.0
6.4816 0.0000 0.0000
-3.2408 5.6132 0.0000
0.0000 0.0000 5.7959
Ru Br
2 6
Direct
0.0000 0.0000 0.0000
0.0000 0.0000 0.5000
0.0000 0.3096 0.2500
0.0000 0.6904 0.7500
0.3096 0.0000 0.2500
0.3096 0.3096 0.7500
0.6904 0.0000 0.7500
0.6904 0.6904 0.2500
```

***

First-principles (PBEsol) data for a geometry-optimized Sb2RuBr structure, as listed in Alexandria.

Properties
V, Å³/atom: 20.42
Theoretical density, g/cm3: 8.629
Raw formation energy, eV/f.u.: 2.02
N(E_F), states/eV/cell: 2.680
Total magnetization, μB/atom: 0.170
Raw total energy, eV/atom: -4.783

Cell and atoms, written as POSCAR:
```
Sb2RuBr
1.0
-2.2995 2.2995 3.8624
2.2995 -2.2995 3.8624
2.2995 2.2995 -3.8624
Sb Ru Br
2 1 1
Direct
0.2500 0.7500 0.5000
0.7500 0.2500 0.5000
0.0000 0.0000 0.0000
0.5000 0.5000 0.0000
```

***

First-principles (PBEsol) data for a geometry-optimized SbRu2Br structure, as listed in Alexandria.

Properties
V, Å³/atom: 17.56
Theoretical density, g/cm3: 9.547
Raw formation energy, eV/f.u.: 2.01
N(E_F), states/eV/cell: 3.485
Total magnetization, μB/atom: 0.000
Raw total energy, eV/atom: -6.190

Cell and atoms, written as POSCAR:
```
SbRu2Br
1.0
-1.4951 2.0291 5.7876
1.4951 -2.0291 5.7876
1.4951 2.0291 -5.7876
Sb Ru Br
1 2 1
Direct
0.0000 0.0000 0.0000
0.1988 0.6988 0.5000
0.4050 0.4050 0.0000
0.7356 0.2356 0.5000
```

***

First-principles (PBEsol) data for a geometry-optimized Sb4RuBr structure, as listed in Alexandria.

Properties
V, Å³/atom: 26.01
Theoretical density, g/cm3: 7.107
Raw formation energy, eV/f.u.: 5.24
N(E_F), states/eV/cell: 7.478
Total magnetization, μB/atom: 0.472
Raw total energy, eV/atom: -4.171

Cell and atoms, written as POSCAR:
```
Sb4RuBr
1.0
0.0000 4.2734 4.2734
4.2734 0.0000 4.2734
4.2734 4.2734 0.0000
Sb Ru Br
4 1 1
Direct
0.3765 0.3765 0.3765
0.3765 0.3765 0.8705
0.3765 0.8705 0.3765
0.8705 0.3765 0.3765
0.0000 0.0000 0.0000
0.7500 0.7500 0.7500
```

***

First-principles (PBEsol) data for a geometry-optimized SbRu2Br structure, as listed in Alexandria.

Properties
V, Å³/atom: 17.06
Theoretical density, g/cm3: 9.828
Raw formation energy, eV/f.u.: 1.51
N(E_F), states/eV/cell: 3.581
Total magnetization, μB/atom: 0.000
Raw total energy, eV/atom: -6.316

Cell and atoms, written as POSCAR:
```
SbRu2Br
1.0
3.0765 0.0000 0.0000
0.0000 3.9153 0.0000
0.0000 0.0000 5.6640
Sb Ru Br
1 2 1
Direct
0.0000 0.0000 0.0000
0.0000 0.0000 0.5145
0.5000 0.5000 0.8154
0.5000 0.5000 0.3954
```

***

First-principles (PBEsol) data for a geometry-optimized SbRuBr2 structure, as listed in Alexandria.

Properties
V, Å³/atom: 20.31
Theoretical density, g/cm3: 7.821
Raw formation energy, eV/f.u.: 3.06
N(E_F), states/eV/cell: 2.843
Total magnetization, μB/atom: 0.362
Raw total energy, eV/atom: -3.854

Cell and atoms, written as POSCAR:
```
SbRuBr2
1.0
0.0000 3.4376 3.4376
3.4376 0.0000 3.4376
3.4376 3.4376 0.0000
Sb Ru Br
1 1 2
Direct
0.0000 0.0000 0.0000
0.5000 0.5000 0.5000
0.2500 0.2500 0.2500
0.7500 0.7500 0.7500
```